! PBE LaTb5Er, relaxed; values from VASP
&SYSTEM
  ibrav = 0, nat = 14, ntyp = 3
/
ATOMIC_SPECIES
La 138.91 La.upf
Tb 158.93 Tb.upf
Er 167.26 Er.upf
CELL_PARAMETERS angstrom
5.8958 -3.4053 0.0000
5.8958 3.4053 0.0000
-4.3941 0.0000 11.4748
ATOMIC_POSITIONS angstrom
La 2.6002 3.1931 8.6061
La 4.7973 -3.1931 2.8687
Tb 0.0019 0.8704 8.6492
Tb 2.7602 1.5511 5.7356
Tb 6.8344 1.5511 0.0018
Tb 4.7973 0.6444 2.8687
Tb 2.1990 -0.8704 2.9118
Tb 5.1985 0.8704 8.5630
Tb 2.6002 -0.6444 8.6061
Tb 0.5631 -1.5511 11.4730
Tb 4.6373 -1.5511 5.7392
Tb 7.3955 -0.8704 2.8256
Er 2.9479 1.7027 0.0000
Er 0.7508 -1.7027 5.7374
! - Energy of formation from the pure elements: 0.192 eV per atom
! - Magnetic moment: 0.000 μB per formula unit